# 1
Compound: Na3DySb3Se8
Source: the Alexandria database
Functional: PBE
Structure: relaxed

Cell: 14.2162 8.2019 8.6070 Å, 90.00 123.46 90.00°
Space group C2/m (No. 12)
Inequivalent atoms, fractional coordinates:
Na (0.0000, 0.0000, 0.0000)
Na (0.2500, 0.2500, 0.0000)
Dy (0.0000, 0.0000, 0.5000)
Sb (0.0000, 0.5000, 0.5000)
Sb (0.2500, 0.2500, 0.5000)
Se (0.0083, 0.2505, 0.2750)
Se (0.2422, 0.0000, 0.7253)
Se (0.2438, 0.5000, 0.7315)

## Properties
Its uncorrected energy is -121.40 eV/cell. The value obtained for the energy relative to the elements, uncorrected is -793 meV/atom. The crystal system is monoclinic. Its density of states at the Fermi level is 18.115 states/eV per cell.

=====

# 2
Compound: Na4Dy3SbTe8
Source: the Alexandria database
Functional: PBE
Structure: relaxed

Cell: 8.8739 8.8739 22.6830 Å, 90.00 90.00 120.00°
Space group R-3m (No. 166, hexagonal axes)
Inequivalent atoms, fractional coordinates:
Na (0.0000, 0.0000, 0.0000)
Na (0.0000, 0.5000, 0.0000)
Dy (0.0000, 0.5000, 0.5000)
Sb (0.0000, 0.0000, 0.5000)
Te (0.0000, 0.0000, 0.2438)
Te (0.0009, 0.5004, 0.2435)

## Properties
Its uncorrected energy is -197.71 eV/cell. The value obtained for the energy relative to the elements, uncorrected is -1098 meV/atom. The crystal system is trigonal.

=====

# 3
Compound: Na2DySbTe4
Source: the Alexandria database
Functional: PBE
Structure: relaxed

Cell: 7.7230 4.4345 7.9712 Å, 90.00 108.68 90.00°
Space group P2/m (No. 10)
Inequivalent atoms, fractional coordinates:
Na (0.0000, 0.0000, 0.0000)
Na (0.5000, 0.5000, 0.0000)
Dy (0.0000, 0.5000, 0.5000)
Sb (0.5000, 0.0000, 0.5000)
Te (0.2445, 0.0000, 0.7299)
Te (0.2567, 0.5000, 0.2696)

## Properties
Its uncorrected energy is -30.98 eV/cell. The value obtained for the energy relative to the elements, uncorrected is -881 meV/atom. The crystal system is monoclinic.

=====

# 4
Compound: Na3Dy3SbTe8
Source: the Alexandria database
Functional: PBE
Structure: relaxed

Cell: 15.2003 8.7620 9.1841 Å, 90.00 123.54 90.00°
Space group C2/m (No. 12)
Inequivalent atoms, fractional coordinates:
Na (0.0000, 0.0000, 0.0000)
Na (0.2500, 0.2500, 0.0000)
Dy (0.0000, 0.5000, 0.5000)
Dy (0.2500, 0.2500, 0.5000)
Sb (0.0000, 0.0000, 0.5000)
Te (0.0063, 0.2478, 0.2715)
Te (0.2414, 0.0000, 0.7287)
Te (0.2442, 0.5000, 0.7323)

## Properties
Its uncorrected energy is -125.02 eV/cell. The value obtained for the energy relative to the elements, uncorrected is -1033 meV/atom. The crystal system is monoclinic. Its density of states at the Fermi level is 11.940 states/eV per cell.

=====

# 5
Compound: Na3DySb2Te6
Source: the Alexandria database
Functional: PBE
Structure: relaxed

Cell: 7.6980 13.3446 7.9854 Å, 90.00 108.75 90.00°
Space group C2/m (No. 12)
Inequivalent atoms, fractional coordinates:
Na (0.0000, 0.0000, 0.0000)
Na (0.0000, 0.3287, 0.0000)
Dy (0.0000, 0.5000, 0.5000)
Sb (0.0000, 0.1661, 0.5000)
Te (0.2430, 0.0000, 0.7315)
Te (0.2432, 0.3328, 0.7289)

## Properties
Its uncorrected energy is -89.06 eV/cell. The value obtained for the energy relative to the elements, uncorrected is -740 meV/atom. The crystal system is monoclinic.

=====

# 6
Compound: NaDyTh2Sb4
Source: the Alexandria database
Functional: PBE
Structure: relaxed

Cell: 7.6621 4.5204 7.8614 Å, 90.00 109.42 90.00°
Space group P2/m (No. 10)
Inequivalent atoms, fractional coordinates:
Na (0.0000, 0.0000, 0.0000)
Dy (0.0000, 0.5000, 0.5000)
Th (0.5000, 0.0000, 0.5000)
Th (0.5000, 0.5000, 0.0000)
Sb (0.2448, 0.0000, 0.7469)
Sb (0.2528, 0.5000, 0.2545)

## Properties
Its uncorrected energy is -43.72 eV/cell. The value obtained for the energy relative to the elements, uncorrected is -809 meV/atom. The crystal system is monoclinic. Its density of states at the Fermi level is 2.320 states/eV per cell.